Entry from the Alexandria database: a relaxed structure of Mn2HSeO (PBE+U).

abc: 6.475 3.403 6.834
angles: 90.00 94.35 90.00
Space group Cm (No. 8)
One atom of each set of equivalent atoms:
Mn: 0.000 0.000 0.000
Mn: 0.190 0.500 0.613
H: 0.318 0.000 0.678
Se: 0.493 0.500 0.385
O: 0.169 0.500 0.922

Results
* V: 150 Å³ per cell
* size of the total moment: 9.0 μB/f.u.
* energy relative to the lowest polymorph listed for this composition: 0.102 eV/atom